The following is a DFT calculation (PBE-GGA) of YCuPd6 after structural relaxation.

## Properties
- uncorrected energy (Ha/atom) = -0.196
- crystal system = monoclinic
- formation energy from the elements (meV per atom) = -126
- spin magnetization (μB per atom) = 0.000
- distance to the lowest polymorph of the same formula (meV/atom) = 293
- D(E_F) (states/eV per atom) = 0.7745

Lattice parameters (Å, degrees): 8.262 5.278 7.285 90.00 110.64 90.00
Space group C2/m (No. 12)
Symmetry-distinct sites (fractional):
Y: 0.000 0.000 0.000 x2
Cu: 0.000 0.500 0.500 x2
Pd: 0.150 0.000 0.445 x4
Pd: 0.188 0.246 0.794 x8



The following is a DFT calculation (PBE-GGA) of KGa3Tc after structural relaxation.

## Properties
- uncorrected energy (Ha/atom) = -0.137
- crystal system = tetragonal
- formation energy from the elements (meV per atom) = 377
- spin magnetization (μB per atom) = 0.000
- distance to the lowest polymorph of the same formula (meV/atom) = 554
- D(E_F) (states/eV per atom) = 0.6081

Lattice parameters (Å, degrees): 4.480 4.480 7.772 90.00 90.00 90.00
Space group P4mm (No. 99)
Symmetry-distinct sites (fractional):
K: 0.000 0.000 0.000 x1
Ga: 0.000 0.000 0.590 x1
Ga: 0.000 0.500 0.352 x2
Tc: 0.500 0.500 0.457 x1